Entry 1:
Here is HoHg2Se after structural relaxation from Alexandria. Energies are from GGA-PBE.

Structure (POSCAR):
```
HoHg2Se
1.0
-0.129 3.001 -1.786
-3.071 1.238 -1.116
-2.209 6.778 8.128
Ho Hg Se
1 2 1
Cartesian
0.000 0.000 0.000 Ho
-3.522 5.751 -0.340 Hg
-1.887 5.266 5.566 Hg
-2.705 5.508 2.613 Se
```

Results
Its total moment is 0.00 Bohr magnetons per cell. The density of states at the Fermi level comes out at 3.141 states/eV per cell. For the energy relative to the elements, uncorrected, the calculation gives 163.9 meV per atom.

***

Entry 2:
Here is La2CdIn after structural relaxation from Alexandria. Energies are from GGA-PBE.

Structure (POSCAR):
```
La2CdIn
1.0
-4.320 -5.117 4.667
2.847 -1.600 -4.872
1.898 -2.400 1.895
In Cd La
1 1 2
Cartesian
-0.736 -3.358 -0.103 In
2.373 -2.000 -1.489 Cd
-1.211 -3.759 3.281 La
0.000 0.000 0.000 La
```

Results
Its total moment is 0.00 Bohr magnetons per cell. The density of states at the Fermi level comes out at 4.675 states/eV per cell. The formation energy is -0.408 eV/atom.

***

no.,total DFT energy (no corrections) (eV/atom)
1,-2.00
2,-3.78